Arrangement i

Al3FeP: optimized geometry, PBE-GGA.

Results
Theoretical density in g cm⁻³: 3.073
Magnetic moment in μB/cell: 1.29
Space-group type: Pm-3m
N(E_F) in states/eV/atom: 0.98
V in Å³ per atom: 18.13

abc: 4.492 4.492 4.492
angles: 90.00 90.00 90.00
Positions (direct):
Al 0.000 0.000 0.500
Al 0.000 0.500 0.000
Al 0.500 0.000 0.000
Fe 0.000 0.000 0.000
P 0.500 0.500 0.500

=====

Arrangement ii

Al3FeP: optimized geometry, PBE-GGA.

Results
Theoretical density in g cm⁻³: 2.820
Magnetic moment in μB/cell: 2.82
Space-group type: Pm-3m
N(E_F) in states/eV/atom: 1.47
V in Å³ per atom: 19.76

abc: 4.623 4.623 4.623
angles: 90.00 90.00 90.00
Positions (direct):
Al 0.000 0.000 0.500
Al 0.000 0.500 0.000
Al 0.500 0.000 0.000
Fe 0.500 0.500 0.500
P 0.000 0.000 0.000

=====

Most stable: arrangement i

=====

Arrangement i

Pa2AlFe: optimized geometry, PBE-GGA.

Results
Theoretical density in g cm⁻³: 11.122
Magnetic moment in μB/cell: 0.85
Space-group type: R-3m
N(E_F) in states/eV/atom: 1.20
V in Å³ per atom: 20.34

abc: 10.188 10.188 10.188
angles: 17.27 17.27 17.27
Positions (direct):
Pa 0.078 0.078 0.078
Pa 0.922 0.922 0.922
Al 0.500 0.500 0.500
Fe 0.000 0.000 0.000

=====

Arrangement ii

Pa2AlFe: optimized geometry, PBE-GGA.

Results
Theoretical density in g cm⁻³: 10.896
Magnetic moment in μB/cell: 0.00
Space-group type: Pnna
N(E_F) in states/eV/atom: 1.18
V in Å³ per atom: 20.76

abc: 5.866 5.823 9.723
angles: 90.00 90.00 90.00
Positions (direct):
Pa 0.043 0.232 0.091
Pa 0.043 0.268 0.409
Pa 0.457 0.732 0.409
Pa 0.457 0.768 0.091
Pa 0.543 0.232 0.909
Pa 0.543 0.268 0.591
Pa 0.957 0.732 0.591
Pa 0.957 0.768 0.909
Al 0.012 0.250 0.750
Al 0.488 0.750 0.750
Al 0.512 0.250 0.250
Al 0.988 0.750 0.250
Fe 0.250 0.000 0.613
Fe 0.250 0.500 0.887
Fe 0.750 0.000 0.387
Fe 0.750 0.500 0.113

=====

Most stable: arrangement ii

=====

Arrangement i

AlFePb: optimized geometry, PBE-GGA.

Results
Theoretical density in g cm⁻³: 8.076
Magnetic moment in μB/cell: 1.32
Space-group type: I4mm
N(E_F) in states/eV/atom: 0.85
V in Å³ per atom: 19.88

abc: 6.615 6.615 6.615
angles: 152.98 152.98 38.58
Positions (direct):
Al 0.000 0.000 0.000
Fe 0.411 0.411 0.000
Pb 0.748 0.748 0.000

=====

Arrangement ii

AlFePb: optimized geometry, PBE-GGA.

Results
Theoretical density in g cm⁻³: 8.469
Magnetic moment in μB/cell: 1.70
Space-group type: P3m1
N(E_F) in states/eV/atom: 1.12
V in Å³ per atom: 18.95

abc: 3.194 3.194 6.437
angles: 90.00 90.00 120.00
Positions (direct):
Al 0.000 0.000 0.000
Fe 0.333 0.667 0.257
Pb 0.667 0.333 0.587

=====

Most stable: arrangement i

=====

Arrangement i

AlFePb: optimized geometry, PBE-GGA.

Results
Theoretical density in g cm⁻³: 8.147
Magnetic moment in μB/cell: 1.82
Space-group type: F-43m
N(E_F) in states/eV/atom: 1.14
V in Å³ per atom: 19.70

abc: 4.372 4.372 4.372
angles: 60.00 60.00 60.00
Positions (direct):
Al 0.000 0.000 0.000
Fe 0.250 0.250 0.250
Pb 0.500 0.500 0.500

=====

Arrangement ii

AlFePb: optimized geometry, PBE-GGA.

Results
Theoretical density in g cm⁻³: 8.355
Magnetic moment in μB/cell: 1.89
Space-group type: P-6m2
N(E_F) in states/eV/atom: 0.83
V in Å³ per atom: 19.21

abc: 4.265 4.265 3.660
angles: 90.00 90.00 120.00
Positions (direct):
Al 0.000 0.000 0.000
Fe 0.667 0.333 0.000
Pb 0.333 0.667 0.500

=====

Most stable: arrangement i